Entry 1:
Compound: Ca3Sn2Hg2
Source: the Alexandria database
Functional: PBE
Structure: relaxed

a b c (Å): 4.891 6.264 7.400
angles (deg): 104.47 90.00 112.98
Fractional positions:
Ca 0.341 0.683 0.378
Ca 0.659 0.317 0.622
Ca 0.500 0.000 0.000
Sn 0.948 0.896 0.672
Sn 0.052 0.104 0.328
Hg 0.817 0.635 0.055
Hg 0.183 0.365 0.945

Summary:
Its size of the total moment is 0.00 μB/cell. The total energy comes out at -18.48 eV per formula unit. Its space group is C2/m (12).

Entry 2:
Compound: Tl3TcBr
Source: the Alexandria database
Functional: PBE
Structure: relaxed

a b c (Å): 5.389 5.389 5.389
angles (deg): 90.00 90.00 90.00
Fractional positions:
Tl 0.000 0.500 0.000
Tl 0.000 0.000 0.500
Tl 0.500 0.000 0.000
Tc 0.000 0.000 0.000
Br 0.500 0.500 0.500

Summary:
Its size of the total moment is 0.81 μB/cell. Its space group is Pm-3m (221). The calculation puts the formation energy (no corrections) at 1.09 eV/f.u.

Entry 3:
Compound: Ac3Tb3MgS8
Source: the Alexandria database
Functional: PBE
Structure: relaxed

a b c (Å): 8.038 8.038 8.292
angles (deg): 118.99 90.00 120.00
Fractional positions:
Ac 0.000 0.000 0.000
Ac 0.000 0.500 0.000
Ac 0.500 0.500 0.000
Tb 0.500 0.000 0.500
Tb 0.500 0.500 0.500
Tb 0.000 0.500 0.500
Mg 0.000 0.000 0.500
S 0.259 0.519 0.278
S 0.741 0.481 0.722
S 0.765 0.531 0.282
S 0.235 0.469 0.718
S 0.765 0.017 0.282
S 0.235 0.983 0.718
S 0.252 0.017 0.282
S 0.748 0.983 0.718

Summary:
Its size of the total moment is 0.00 μB/cell. Its space group is R-3m (166). The calculation puts the formation energy (no corrections) at -29.31 eV/f.u.

Entry 4:
Compound: PaCoB2
Source: the Alexandria database
Functional: PBE
Structure: relaxed

a b c (Å): 4.948 5.198 5.198
angles (deg): 129.45 90.00 90.00
Fractional positions:
Pa 0.250 0.663 0.337
Pa 0.750 0.337 0.663
Co 0.500 0.000 0.000
Co 0.000 0.000 0.000
B 0.250 0.594 0.786
B 0.750 0.406 0.214
B 0.250 0.214 0.406
B 0.750 0.786 0.594

Summary:
Its size of the total moment is 0.00 μB/cell. The total energy comes out at -31.41 eV per formula unit. Its space group is Cmcm (63).

Entry 5:
Compound: Tm6Rh5Au
Source: the Alexandria database
Functional: PBE
Structure: relaxed

a b c (Å): 4.811 6.847 7.613
angles (deg): 90.00 71.23 90.00
Fractional positions:
Rh 0.666 0.500 0.668
Rh 0.333 0.000 0.334
Rh 0.000 0.500 0.000
Rh 0.667 0.000 0.666
Rh 0.334 0.500 0.332
Tm 0.830 0.748 0.340
Tm 0.830 0.252 0.340
Tm 0.500 0.256 0.000
Tm 0.500 0.744 0.000
Tm 0.170 0.748 0.660
Tm 0.170 0.252 0.660
Au 0.000 0.000 0.000

Summary:
Its size of the total moment is 0.00 μB/cell. The total energy comes out at -78.14 eV per formula unit. Its space group is P2/m (10).

Entry 6:
Compound: Th2InTe
Source: the Alexandria database
Functional: PBE
Structure: relaxed

a b c (Å): 3.895 3.895 9.805
angles (deg): 78.54 78.54 60.00
Fractional positions:
Th 0.079 0.079 0.762
Th 0.254 0.254 0.238
In 0.500 0.500 0.499
Te 0.666 0.666 0.001

Summary:
Its size of the total moment is 0.00 μB/cell. Its space group is R3m (160). The calculation puts the formation energy (no corrections) at -1.94 eV/f.u.

Entry 7:
Compound: Cs2LaI3Br3
Source: the Alexandria database
Functional: PBE
Structure: relaxed

a b c (Å): 4.647 9.691 9.691
angles (deg): 120.00 90.00 90.00
Fractional positions:
Cs 0.500 0.333 0.667
Cs 0.500 0.667 0.333
La 0.000 0.000 0.000
I 0.000 0.000 0.354
I 0.000 0.646 0.646
I 0.000 0.354 0.000
Br 0.500 0.782 0.000
Br 0.500 0.218 0.218
Br 0.500 0.000 0.782

Summary:
Its size of the total moment is 0.82 μB/cell. Its space group is P-62m (189). The calculation puts the formation energy (no corrections) at -13.23 eV/f.u.

Entry 8:
Compound: YAg2W
Source: the Alexandria database
Functional: PBE
Structure: relaxed

a b c (Å): 4.086 4.086 10.698
angles (deg): 78.99 78.99 90.00
Fractional positions:
Y 0.500 0.500 0.000
Y 0.250 0.750 0.500
Ag 0.646 0.125 0.250
Ag 0.104 0.625 0.250
Ag 0.375 0.354 0.750
Ag 0.875 0.896 0.750
W 0.000 0.000 0.000
W 0.750 0.250 0.500

Summary:
Its size of the total moment is 0.00 μB/cell. The total energy comes out at -21.49 eV per formula unit. Its space group is I-42d (122).

Entry 9:
Compound: BaCuO2F
Source: the Alexandria database
Functional: PBE
Structure: relaxed

a b c (Å): 4.543 4.543 4.991
angles (deg): 90.00 90.00 90.00
Fractional positions:
O 0.000 0.500 0.000
O 0.500 0.000 0.000
Ba 0.000 0.000 0.000
Cu 0.500 0.500 0.500
F 0.000 0.000 0.500

Summary:
Its size of the total moment is 0.19 μB/cell. Its space group is P4/mmm (123). The calculation puts the formation energy (no corrections) at -2.26 eV/f.u.

Entry 10:
Compound: K2BaBe
Source: the Alexandria database
Functional: PBE
Structure: relaxed

a b c (Å): 6.239 6.239 6.239
angles (deg): 120.18 120.18 89.69
Fractional positions:
Be 0.750 0.250 0.500
K 0.000 0.000 0.000
K 0.250 0.750 0.500
Ba 0.500 0.500 0.000

Summary:
Its size of the total moment is 1.14 μB/cell. The total energy comes out at -5.29 eV per formula unit. Its space group is I-4m2 (119).